(1)
## Er2Tm5Ni2Se2 (PBE-GGA)

Data for crystalline Er2Tm5Ni2Se2 at its relaxed geometry.

```
Er2Tm5Ni2Se2
1.0
-1.8777 7.4537 4.6188
1.8777 -7.4537 4.6188
1.8777 7.4537 -4.6188
Tm Se Er Ni
5 2 2 2
direct
0.8742 0.0587 0.8155 Tm
0.2432 0.0587 0.1845 Tm
0.2755 0.4154 0.8601 Tm
0.1760 0.6760 0.5000 Tm
0.5553 0.4154 0.1399 Tm
0.5157 0.0157 0.5000 Se
0.9196 0.9196 0.0000 Se
0.8890 0.2635 0.6255 Er
0.6380 0.2635 0.3745 Er
0.0161 0.7540 0.2621 Ni
0.4919 0.7540 0.7379 Ni
```

Results
The space-group type is No. 44. The total DFT energy (no corrections) comes out at -58.62 eV per formula unit. Its crystal system is orthorhombic. The value obtained for the total moment is 0.0 μB per formula unit.

=====

(2)
## Hf2CuNi3 (PBE-GGA)

Data for crystalline Hf2CuNi3 at its relaxed geometry.

```
Hf2CuNi3
1.0
3.2598 0.0000 0.0000
0.0000 3.2598 0.0000
0.0000 0.0000 8.1144
Cu Hf Ni
1 2 3
direct
0.5000 0.5000 0.8270 Cu
0.0000 0.0000 0.0097 Hf
0.5000 0.5000 0.4953 Hf
0.0000 0.0000 0.6704 Ni
0.0000 0.0000 0.3350 Ni
0.5000 0.5000 0.1626 Ni
```

Results
The space-group type is No. 99. The total DFT energy (no corrections) comes out at -42.84 eV per formula unit. Its crystal system is tetragonal. The value obtained for the total moment is 0.0 μB per formula unit. The calculation puts the calculated formation energy at -241.6 kJ/mol of formula units.